1.
This record from the Alexandria database describes a relaxed structure of Ce3Nd2ErS6. The functional is PBE-GGA.

Density (g/cm³): 6.45
Raw formation energy (kJ/mol of atoms): -195.4

Cell lengths 6.953, 6.953, 6.965 Å; angles 99.60, 99.60, 120.01 degrees
Fractional positions:
Ce 0.000 0.000 0.000
Ce 0.330 0.670 0.000
Ce 0.670 0.330 0.000
Nd 0.166 0.834 0.500
Nd 0.834 0.166 0.500
Er 0.500 0.500 0.500
S 0.096 0.419 0.255
S 0.260 0.260 0.749
S 0.419 0.096 0.255
S 0.581 0.904 0.745
S 0.740 0.740 0.251
S 0.904 0.581 0.745

---

2.
This record from the Alexandria database describes a relaxed structure of ZnHSe. The functional is PBE-GGA.

Density (g/cm³): 3.55
Energy (eV/atom): -3.12

Cell lengths 4.069, 4.072, 9.615 Å; angles 96.96, 92.14, 119.93 degrees
Fractional positions:
Zn 0.197 0.378 0.100
Zn 0.803 0.622 0.900
H 0.431 0.456 0.526
H 0.569 0.544 0.474
Se 0.111 0.253 0.820
Se 0.889 0.747 0.180

---

3.
This record from the Alexandria database describes a relaxed structure of DyHoGeRh. The functional is PBE-GGA.

Calculated formation energy (eV per atom): -0.742
Density (g/cm³): 9.81
Distance to the lowest polymorph of the same formula (eV per atom): 0.132

Cell lengths 6.984, 6.984, 6.984 Å; angles 90.00, 90.00, 90.00 degrees
Fractional positions:
Dy 0.000 0.000 0.000
Dy 0.000 0.500 0.500
Dy 0.500 0.000 0.500
Dy 0.500 0.500 0.000
Ho 0.000 0.000 0.500
Ho 0.000 0.500 0.000
Ho 0.500 0.000 0.000
Ho 0.500 0.500 0.500
Ge 0.250 0.250 0.750
Ge 0.250 0.750 0.250
Ge 0.750 0.250 0.250
Ge 0.750 0.750 0.750
Rh 0.250 0.250 0.250
Rh 0.250 0.750 0.750
Rh 0.750 0.250 0.750
Rh 0.750 0.750 0.250

---

4.
This record from the Alexandria database describes a relaxed structure of Ce2Pm2Br7. The functional is PBE-GGA.

Density (g/cm³): 4.36
Raw formation energy (kJ/mol of atoms): -132.5

Cell lengths 7.631, 7.631, 7.821 Å; angles 90.71, 90.71, 109.23 degrees
Fractional positions:
Ce 0.146 0.854 0.000
Ce 0.854 0.146 0.000
Pm 0.197 0.197 0.365
Pm 0.803 0.803 0.635
Br 0.078 0.484 0.219
Br 0.133 0.133 0.733
Br 0.484 0.078 0.219
Br 0.500 0.500 0.500
Br 0.516 0.922 0.781
Br 0.867 0.867 0.267
Br 0.922 0.516 0.781

---

5.
This record from the Alexandria database describes a relaxed structure of Rb2TcRuO6. The functional is PBE-GGA.

Density (g/cm³): 6.11
Raw formation energy (kJ/mol of atoms): -122.9

Cell lengths 5.636, 5.636, 5.636 Å; angles 60.00, 60.00, 60.00 degrees
Fractional positions:
Rb 0.250 0.250 0.250
Rb 0.750 0.750 0.750
Tc 0.000 0.000 0.000
Ru 0.500 0.500 0.500
O 0.245 0.245 0.755
O 0.245 0.755 0.245
O 0.245 0.755 0.755
O 0.755 0.245 0.245
O 0.755 0.245 0.755
O 0.755 0.755 0.245

---

6.
This record from the Alexandria database describes a relaxed structure of BaSO. The functional is PBE-GGA.

Density (g/cm³): 4.03
Raw formation energy (kJ/mol of atoms): -165.5

Cell lengths 7.725, 4.506, 4.449 Å; angles 90.00, 99.38, 90.00 degrees
Fractional positions:
Ba 0.000 0.000 0.000
Ba 0.500 0.500 0.000
S 0.138 0.500 0.514
S 0.638 0.000 0.514
O 0.176 0.500 0.145
O 0.676 0.000 0.145